[1]
A relaxed CePr2ThP4 crystal, computed with GGA-PBE.

Results
Total DFT energy (no corrections) ... -56.9 eV per cell

a b c (Å): 7.207 4.164 7.211
angles (deg): 90.00 109.49 90.00
Element x y z (fractional)
Ce: 0.000 0.000 0.000
Pr: 0.000 0.500 0.500
Pr: 0.500 0.000 0.500
Th: 0.500 0.500 0.000
P: 0.246 0.500 0.241
P: 0.252 0.000 0.758
P: 0.748 0.000 0.242
P: 0.754 0.500 0.759

***

[2]
A relaxed CePr3Tm2P6 crystal, computed with GGA-PBE.

Results
Total DFT energy (no corrections) ... -80.1 eV per cell

a b c (Å): 7.088 7.088 7.108
angles (deg): 99.57 99.57 120.00
Element x y z (fractional)
Ce: 0.000 0.000 0.000
Pr: 0.166 0.834 0.500
Pr: 0.500 0.500 0.500
Pr: 0.834 0.166 0.500
Tm: 0.333 0.667 0.000
Tm: 0.667 0.333 0.000
P: 0.079 0.413 0.236
P: 0.256 0.256 0.765
P: 0.413 0.079 0.236
P: 0.587 0.921 0.764
P: 0.744 0.744 0.235
P: 0.921 0.587 0.764

***

[3]
A relaxed Ce3PrTm2P6 crystal, computed with GGA-PBE.

Results
Total DFT energy (no corrections) ... -82.3 eV per cell

a b c (Å): 7.041 7.041 7.022
angles (deg): 99.63 99.63 120.01
Element x y z (fractional)
Ce: 0.000 0.000 0.000
Ce: 0.335 0.665 0.000
Ce: 0.665 0.335 0.000
Pr: 0.500 0.500 0.500
Tm: 0.167 0.833 0.500
Tm: 0.833 0.167 0.500
P: 0.075 0.417 0.251
P: 0.240 0.240 0.747
P: 0.417 0.075 0.251
P: 0.583 0.925 0.749
P: 0.760 0.760 0.253
P: 0.925 0.583 0.749

***

- Number 1 is which compound?
  CePr2ThP4

***

- What is the total DFT energy (no corrections) in the second record?
  -80.1 eV per cell

***

- Which value of total DFT energy (no corrections) does entry 2 give?
  -80.1 eV per cell